1.
PBE-GGA SeCl, optimized geometry; SG = Pm-3m; volume = 41.6 Å³/f.u.; formation energy without anion corrections = 0.7902 eV/atom; E = -1.875 eV per atom
1.0
3.465 0.000 0.000
0.000 3.465 0.000
0.000 0.000 3.465
Se Cl
1 1
Direct
0.000 0.000 0.000
0.500 0.500 0.500

***

2.
PBE-GGA SeCl, optimized geometry; SG = P6_3/mmc; volume = 41.1 Å³/f.u.; formation energy without anion corrections = 0.5870 eV/atom; E = -2.079 eV per atom
1.0
3.270 0.000 0.000
-1.635 2.832 0.000
0.000 0.000 8.884
Se Cl
2 2
Direct
0.333 0.667 0.250
0.667 0.333 0.750
0.000 0.000 0.000
0.000 0.000 0.500

***

3.
PBE-GGA SeCl3, optimized geometry; SG = P4/mmm; volume = 81.4 Å³/f.u.; formation energy without anion corrections = 0.7149 eV/atom; E = -1.541 eV per atom
1.0
4.476 0.000 0.000
0.000 4.476 0.000
0.000 0.000 4.066
Se Cl
1 3
Direct
0.000 0.000 0.000
0.000 0.500 0.500
0.500 0.000 0.500
0.500 0.500 0.000

***

no.,total magnetization (μB per formula unit)
1,0.000
2,0.000
3,0.003